# 1
First-principles (PBE) data for Rb2Li3UF12 after structural relaxation, as listed in the Alexandria database.

Cell: 7.0908 7.0908 7.0908 Å, 61.01 61.01 61.01°
Last column: nearest neighbours and their distance in Å.
Sites, in units of the cell vectors:
Rb (0.0988, 0.0988, 0.0988)  6 F 2.79-2.90
Rb (0.9012, 0.9012, 0.9012)  6 F 2.79-2.90
Li (0.0000, 0.5000, 0.5000)  4 F 1.93
Li (0.5000, 0.0000, 0.5000)  4 F 1.93
Li (0.5000, 0.5000, 0.0000)  4 F 1.93
U (0.5000, 0.5000, 0.5000)  6 F 2.12
F (0.1379, 0.6257, 0.6257)  1 U 2.12, 1 Li 2.24
F (0.2419, 0.2419, 0.6052)  2 Li 1.93
F (0.2419, 0.6052, 0.2419)  2 Li 1.93
F (0.3743, 0.3743, 0.8621)  1 U 2.12, 1 Li 2.24
F (0.3743, 0.8621, 0.3743)  1 U 2.12, 1 Li 2.24
F (0.3948, 0.7581, 0.7581)  2 Li 1.93
F (0.6052, 0.2419, 0.2419)  2 Li 1.93
F (0.6257, 0.1379, 0.6257)  1 U 2.12, 1 Li 2.24
F (0.6257, 0.6257, 0.1379)  1 U 2.12, 1 Li 2.24
F (0.7581, 0.3948, 0.7581)  2 Li 1.93
F (0.7581, 0.7581, 0.3948)  2 Li 1.93
F (0.8621, 0.3743, 0.3743)  1 U 2.12, 1 Li 2.24

Output
E_tot: -91.1 eV per cell
spin magnetization: 1.067 Bohr magnetons per cell

# 2
First-principles (PBE) data for HfH2Pt after structural relaxation, as listed in the Alexandria database.

Cell: 3.9297 3.9297 3.9297 Å, 60.00 60.00 60.00°
Last column: nearest neighbours and their distance in Å.
Sites, in units of the cell vectors:
Hf (0.0000, 0.0000, 0.0000)  8 H 2.41
H (0.2500, 0.2500, 0.2500)  4 Hf 2.41, 4 Pt 2.41
H (0.7500, 0.7500, 0.7500)  4 Hf 2.41, 4 Pt 2.41
Pt (0.5000, 0.5000, 0.5000)  8 H 2.41

Output
polymorph energy (0 for the lowest one): 0.148 eV/atom
spin magnetization: 0.000 Bohr magnetons per cell

# 3
First-principles (PBE) data for ZrAgPdF6 after structural relaxation, as listed in the Alexandria database.

Cell: 6.0735 6.0735 9.4134 Å, 90.00 90.00 120.00°
Last column: nearest neighbours and their distance in Å.
Sites, in units of the cell vectors:
Zr (0.3333, 0.6667, 0.2500)  6 F 2.05
Zr (0.6667, 0.3333, 0.7500)  6 F 2.05
Ag (0.3333, 0.6667, 0.7500)  6 F 2.52
Ag (0.6667, 0.3333, 0.2500)  6 F 2.52
Pd (0.0000, 0.0000, 0.0000)  6 F 2.48
Pd (0.0000, 0.0000, 0.5000)  6 F 2.48
F (0.0574, 0.3812, 0.1289)  1 Zr 2.05
F (0.0574, 0.6762, 0.3711)  1 Zr 2.05
F (0.3238, 0.3812, 0.3711)  1 Zr 2.05
F (0.3238, 0.9426, 0.1289)  1 Zr 2.05
F (0.3812, 0.0574, 0.6289)  1 Zr 2.05
F (0.3812, 0.3238, 0.8711)  1 Zr 2.05
F (0.6188, 0.6762, 0.1289)  1 Zr 2.05
F (0.6188, 0.9426, 0.3711)  1 Zr 2.05
F (0.6762, 0.0574, 0.8711)  1 Zr 2.05
F (0.6762, 0.6188, 0.6289)  1 Zr 2.05
F (0.9426, 0.3238, 0.6289)  1 Zr 2.05
F (0.9426, 0.6188, 0.8711)  1 Zr 2.05

Output
E_tot: -96.8 eV per cell
spin magnetization: 2.000 Bohr magnetons per cell

# 4
First-principles (PBE) data for AlCdIn after structural relaxation, as listed in the Alexandria database.

Cell: 7.7246 4.9123 7.5108 Å, 90.00 90.00 90.00°
Last column: nearest neighbours and their distance in Å.
Sites, in units of the cell vectors:
Al (0.0728, 0.2500, 0.0427)  2 Al 2.78, 2 Cd 2.82-2.95, 4 In 2.92-3.01
Al (0.4272, 0.7500, 0.5427)  2 Al 2.78, 2 Cd 2.82-2.95, 4 In 2.92-3.01
Al (0.5728, 0.2500, 0.4573)  2 Al 2.78, 2 Cd 2.82-2.95, 4 In 2.92-3.01
Al (0.9272, 0.7500, 0.9573)  2 Al 2.78, 2 Cd 2.82-2.95, 4 In 2.92-3.01
Cd (0.0495, 0.7500, 0.6032)  2 Al 2.82-2.95, 2 Cd 3.00, 2 In 3.15
Cd (0.4505, 0.2500, 0.1032)  2 Al 2.82-2.95, 2 Cd 3.00, 2 In 3.15
Cd (0.5495, 0.7500, 0.8968)  2 Al 2.82-2.95, 2 Cd 3.00, 2 In 3.15
Cd (0.9505, 0.2500, 0.3968)  2 Al 2.82-2.95, 2 Cd 3.00, 2 In 3.15
In (0.2208, 0.7500, 0.2173)  4 Al 2.92-3.01, 3 Cd 3.15-3.19
In (0.2792, 0.2500, 0.7173)  4 Al 2.92-3.01, 3 Cd 3.15-3.19
In (0.7208, 0.7500, 0.2827)  4 Al 2.92-3.01, 3 Cd 3.15-3.19
In (0.7792, 0.2500, 0.7827)  4 Al 2.92-3.01, 3 Cd 3.15-3.19

Output
formation energy from the elements: 141 meV per atom
spin magnetization: 0.000 Bohr magnetons per cell

> Which of these has the highest spin magnetization?

ZrAgPdF6

> Which of these has the highest spin magnetization?

ZrAgPdF6

> Number 4 is which compound?

AlCdIn

> Which formula does entry 2 have?

HfH2Pt